Compound: LaY3I
Source: Alexandria via LeMat-Bulk
Functional: PBE-GGA
Structure: relaxed

The structure in POSCAR format:
```
LaY3I
1.0
5.839 0.000 0.000
0.000 5.839 0.000
0.000 0.000 5.839
Y I La
3 1 1
Cartesian
0.000 0.000 2.919 Y
2.919 0.000 0.000 Y
0.000 2.919 0.000 Y
2.919 2.919 2.919 I
0.000 0.000 0.000 La
```

size of the total moment	0.0	μB/f.u.
E_form (uncorrected)	0.72	eV/atom
crystal system	cubic
offset from the most stable computed form	654	meV per atom
SG	Pm-3m
uncorrected energy	-22.27	eV per cell